A relaxed Ce4Rh2Au crystal, computed with PBE-GGA.

The space group is I-42d (No. 122) and the conventional cell measures 8.9449, 8.9449 and 8.5924 Å, with angles of 90.00, 90.00 and 90.00 degrees. Symmetry generates all atoms from Ce at (0.0627, 0.6813, 0.4242), Rh at (0.1359, 0.7500, 0.1250) and Au at (0.0000, 0.0000, 0.5000).

The uncorrected energy is -6.5588 eV per atom. Its crystal system is tetragonal. Its offset from the most stable computed form is 0.000 eV/atom. The total moment is 11.50 μB per cell.